Computed, not measured: an optimized crystal structure of RbBa2Co at the PBE-GGA level of DFT.

- Calculated formation energy: 478 meV/atom
- Energy above the lowest structure with this stoichiometry: 0.00 eV per formula unit

a b c (Å): 8.8277 8.8277 12.4614
angles (deg): 90.00 90.00 90.00
Space group I-42d (No. 122)
Asymmetric unit:
1 Rb 0.0000 0.0000 0.0000 [4 per cell]
2 Ba 0.0031 0.2500 0.6250 [8 per cell]
3 Co 0.0000 0.0000 0.5000 [4 per cell]